Entry 1:
Computed, not measured: ZrTaHg after structural relaxation at the PBE-GGA level of DFT.

Computed properties:
V, Å³/cell: 62
Total magnetic moment, μB/f.u.: 0.00
Final energy, Ry/atom: -0.4946
Density of states at the Fermi level, states/eV/atom: 0.933
ΔE to the lowest computed polymorph, meV/atom: 208
Energy of formation from the pure elements, meV per atom: 171

Geometry as extended XYZ:
```
3
Lattice="-1.762 1.762 4.982 1.762 -1.762 4.982 1.762 1.762 -4.982" Properties=species:S:1:pos:R:3 pbc="T T T"
Zr 0.000 0.000 0.000
Ta 0.000 0.000 3.336
Hg 0.000 0.000 6.725
```

=====

Entry 2:
Computed, not measured: ScIrPb2 after structural relaxation at the PBE-GGA level of DFT.

Computed properties:
V, Å³/cell: 94
Total magnetic moment, μB/f.u.: 0.00
Final energy, Ry/atom: -0.4226
Density of states at the Fermi level, states/eV/atom: 0.478
ΔE to the lowest computed polymorph, meV/atom: 181
Energy of formation from the pure elements, meV per atom: -98

Geometry as extended XYZ:
```
4
Lattice="6.037 -1.730 0.000 6.037 1.730 0.000 -2.000 0.000 4.496" Properties=species:S:1:pos:R:3 pbc="T T T"
Sc 0.000 0.000 0.000
Ir 2.256 0.000 3.732
Pb 5.920 0.000 2.641
Pb 9.049 0.000 1.364
```

=====

Entry 3:
Computed, not measured: CeMgP2 after structural relaxation at the PBE-GGA level of DFT.

Computed properties:
V, Å³/cell: 345
Total magnetic moment, μB/f.u.: 0.17
Final energy, Ry/atom: -0.4058
Density of states at the Fermi level, states/eV/atom: 0.620
ΔE to the lowest computed polymorph, meV/atom: 0
Energy of formation from the pure elements, meV per atom: -934

Geometry as extended XYZ:
```
16
Lattice="7.028 0.000 0.000 0.000 7.562 0.000 -1.799 0.000 6.484" Properties=species:S:1:pos:R:3 pbc="T T T"
Ce 0.845 0.504 2.001
Ce -0.054 3.277 5.243
Ce 5.284 4.285 1.241
Ce 4.385 7.059 4.483
Mg 1.746 4.864 2.471
Mg 0.847 6.480 5.713
Mg 4.383 1.083 0.771
Mg 3.484 2.699 4.013
P -0.488 5.624 3.419
P 0.411 5.720 0.177
P 1.763 0.984 4.667
P 2.663 2.797 1.425
P 2.567 4.765 5.059
P 3.466 6.579 1.817
P 4.819 1.843 6.306
P 5.718 1.939 3.065
```

=====

Entry 4:
Computed, not measured: Be2ZnCl after structural relaxation at the PBE-GGA level of DFT.

Computed properties:
V, Å³/cell: 64
Total magnetic moment, μB/f.u.: 0.00
Final energy, Ry/atom: -0.1525
Formation energy (no corrections), eV per atom: 0.568
Density of states at the Fermi level, states/eV/atom: 0.628
ΔE to the lowest computed polymorph, meV/atom: 521

Geometry as extended XYZ:
```
4
Lattice="-1.586 1.586 6.392 1.586 -1.586 6.392 1.586 1.586 -6.392" Properties=species:S:1:pos:R:3 pbc="T T T"
Be 0.000 0.000 0.000
Be 0.000 1.586 3.196
Zn 0.000 0.000 6.392
Cl 1.586 0.000 3.196
```

=====

Entry 5:
Computed, not measured: Ca2CeZrBi4 after structural relaxation at the PBE-GGA level of DFT.

Computed properties:
V, Å³/cell: 259
Total magnetic moment, μB/f.u.: 0.23
Final energy, Ry/atom: -0.3601
Density of states at the Fermi level, states/eV/atom: 0.451
Energy of formation from the pure elements, meV per atom: -648

Geometry as extended XYZ:
```
8
Lattice="7.758 0.000 0.000 0.000 4.477 0.000 -2.567 0.000 7.469" Properties=species:S:1:pos:R:3 pbc="T T T"
Ca 0.000 0.000 0.000
Ca 3.879 2.238 0.000
Ce -1.283 2.238 3.735
Zr 2.596 0.000 3.735
Bi 0.107 0.000 5.501
Bi 1.380 2.238 2.011
Bi 3.812 2.238 5.459
Bi 5.085 0.000 1.968
```

=====

Entry 6:
Computed, not measured: BaSc after structural relaxation at the PBE-GGA level of DFT.

Computed properties:
V, Å³/cell: 621
Total magnetic moment, μB/f.u.: 0.91
Final energy, Ry/atom: -0.2327
Density of states at the Fermi level, states/eV/atom: 2.806
ΔE to the lowest computed polymorph, meV/atom: 725
Energy of formation from the pure elements, meV per atom: 961

Geometry as extended XYZ:
```
8
Lattice="-5.375 5.375 5.375 5.375 -5.375 5.375 5.375 5.375 -5.375" Properties=species:S:1:pos:R:3 pbc="T T T"
Ba 2.252 2.252 -2.252
Ba 2.252 -2.252 2.252
Ba -2.252 2.252 2.252
Ba 3.123 3.123 3.123
Sc 4.348 4.348 -4.348
Sc 4.348 -4.348 4.348
Sc 1.026 1.026 1.026
Sc -4.348 4.348 4.348
```

=====

Entry 7:
Computed, not measured: LiBPtRh after structural relaxation at the PBE-GGA level of DFT.

Computed properties:
V, Å³/cell: 44
Total magnetic moment, μB/f.u.: 0.00
Final energy, Ry/atom: -0.4242
Density of states at the Fermi level, states/eV/atom: 0.466
Energy of formation from the pure elements, meV per atom: -275

Geometry as extended XYZ:
```
4
Lattice="0.000 2.794 2.794 2.794 0.000 2.794 2.794 2.794 0.000" Properties=species:S:1:pos:R:3 pbc="T T T"
Li 0.000 0.000 0.000
B 2.794 2.794 2.794
Pt 1.397 1.397 1.397
Rh 4.191 4.191 4.191
```

=====

Entry 8:
Computed, not measured: Rb3AlTe3 after structural relaxation at the PBE-GGA level of DFT.

Computed properties:
V, Å³/cell: 1255
Total magnetic moment, μB/f.u.: 0.00
Final energy, Ry/atom: -0.2385
Formation energy (no corrections), eV per atom: -0.949
Density of states at the Fermi level, states/eV/atom: 0.000
ΔE to the lowest computed polymorph, meV/atom: 0

Geometry as extended XYZ:
```
28
Lattice="10.114 0.000 0.000 0.000 8.915 0.000 -2.288 0.000 13.924" Properties=species:S:1:pos:R:3 pbc="T T T"
Rb 0.594 1.508 1.716
Rb -0.550 2.949 8.678
Rb 1.257 6.461 10.950
Rb 2.401 6.911 3.988
Rb 1.928 2.088 12.796
Rb 3.072 2.369 5.834
Rb 4.754 6.546 8.090
Rb 5.898 6.826 1.128
Rb 5.425 2.003 9.935
Rb 6.569 2.454 2.974
Rb 8.376 5.965 5.246
Rb 7.232 7.407 12.207
Al 1.610 5.154 0.638
Al 0.466 8.218 7.599
Al 7.360 0.697 6.324
Al 6.216 3.761 13.286
Te -0.212 0.588 5.314
Te -1.356 3.870 12.276
Te 1.276 5.746 7.252
Te 2.420 7.626 0.290
Te 2.189 0.592 9.089
Te 3.333 3.866 2.127
Te 4.494 5.049 11.797
Te 5.638 8.323 4.835
Te 5.406 1.289 13.633
Te 6.550 3.168 6.672
Te 9.182 5.045 1.648
Te 8.038 8.327 8.609
```

=====

Entry 9:
Computed, not measured: La3Cd2Rh after structural relaxation at the PBE-GGA level of DFT.

Computed properties:
V, Å³/cell: 354
Total magnetic moment, μB/f.u.: 0.00
Final energy, Ry/atom: -0.3262
Density of states at the Fermi level, states/eV/atom: 0.866
Energy of formation from the pure elements, meV per atom: -444

Geometry as extended XYZ:
```
12
Lattice="5.469 0.000 0.000 0.000 7.489 0.000 -2.711 0.000 8.631" Properties=species:S:1:pos:R:3 pbc="T T T"
La -2.707 1.872 8.629
La 0.026 7.489 6.328
La 0.026 3.745 6.328
La 2.733 0.000 2.303
La 2.733 3.745 2.303
La 5.465 5.617 0.002
Cd 0.002 1.872 3.448
Cd 0.000 5.617 3.450
Cd 2.758 1.872 5.181
Cd 2.757 5.617 5.183
Rh 2.730 5.617 0.001
Rh 0.029 1.872 8.630
```

=====

Entry 10:
Computed, not measured: LiZrIn after structural relaxation at the PBE-GGA level of DFT.

Computed properties:
V, Å³/cell: 126
Total magnetic moment, μB/f.u.: 0.00
Final energy, Ry/atom: -0.3313
Density of states at the Fermi level, states/eV/atom: 0.900
ΔE to the lowest computed polymorph, meV/atom: 115
Energy of formation from the pure elements, meV per atom: -107

Geometry as extended XYZ:
```
6
Lattice="3.236 0.000 0.000 0.000 4.596 0.000 0.000 0.000 8.497" Properties=species:S:1:pos:R:3 pbc="T T T"
Li 0.000 0.000 0.000
Li 1.618 0.000 2.500
Zr 0.000 0.000 5.548
Zr 1.618 2.298 7.218
In 0.000 2.298 1.490
In 1.618 2.298 4.177
```

=====

Entry 11:
Computed, not measured: HfTlTe2 after structural relaxation at the PBE-GGA level of DFT.

Computed properties:
V, Å³/cell: 1187
Total magnetic moment, μB/f.u.: 0.39
Final energy, Ry/atom: -0.3752
Formation energy (no corrections), eV per atom: -0.454
Density of states at the Fermi level, states/eV/atom: 0.356

Geometry as extended XYZ:
```
32
Lattice="6.118 -5.997 0.000 6.118 5.997 0.000 -3.302 0.000 16.179" Properties=species:S:1:pos:R:3 pbc="T T T"
Hf 2.279 3.405 13.344
Hf 5.004 3.405 10.925
Hf 2.634 0.981 10.936
Hf 4.284 -0.981 2.846
Hf 4.649 0.981 13.334
Hf 6.300 -0.981 5.244
Hf 3.930 -3.405 5.254
Hf 6.655 -3.405 2.836
Tl 4.492 3.543 1.493
Tl 2.387 0.468 5.945
Tl 6.093 3.543 6.597
Tl 0.737 -0.468 14.035
Tl 8.197 0.468 2.144
Tl 2.841 -3.543 9.582
Tl 6.546 -0.468 10.234
Tl 4.442 -3.543 14.687
Te 0.307 2.344 11.695
Te 3.641 5.519 12.135
Te 2.380 0.905 1.462
Te 0.730 -0.905 9.552
Te 3.959 2.034 8.712
Te 3.324 2.034 15.557
Te 5.292 1.326 4.045
Te 1.958 -2.344 3.605
Te 6.976 2.344 12.575
Te 3.641 -1.326 12.135
Te 5.610 -2.034 0.622
Te 4.975 -2.034 7.468
Te 8.204 0.905 6.627
Te 6.553 -0.905 14.717
Te 5.292 -5.519 4.045
Te 8.626 -2.344 4.485
```

=====

Entry 12:
Computed, not measured: LiPrMgAg2 after structural relaxation at the PBE-GGA level of DFT.

Computed properties:
V, Å³/cell: 114
Total magnetic moment, μB/f.u.: 0.00
Final energy, Ry/atom: -0.2216
Density of states at the Fermi level, states/eV/atom: 0.589
Energy of formation from the pure elements, meV per atom: -217

Geometry as extended XYZ:
```
5
Lattice="-2.060 2.060 6.688 2.060 -2.060 6.688 2.060 2.060 -6.688" Properties=species:S:1:pos:R:3 pbc="T T T"
Li 0.000 0.000 0.000
Pr 0.000 2.060 3.344
Mg 0.000 0.000 6.688
Ag 2.060 0.000 1.912
Ag 2.060 0.000 4.776
```

=====

The highest final energy belongs to which entry?
Be2ZnCl